Here is Al2InRh after structural relaxation from the Alexandria database. Energies are from PBE.

```
Al2InRh
1.0
7.8533 0.0000 0.0000
0.0000 7.8533 0.0000
0.0000 0.0000 5.2326
Al In Rh
8 4 4
Cartesian
1.3387 5.8900 0.6541
1.9633 1.3387 4.5785
1.9633 2.5880 1.9622
2.5880 5.8900 3.2704
5.2653 1.9633 3.2704
5.8900 5.2653 1.9622
5.8900 6.5146 4.5785
6.5146 1.9633 0.6541
0.0000 0.0000 2.6163
0.0000 3.9266 3.9244
3.9266 0.0000 1.3081
3.9266 3.9266 0.0000
0.0000 0.0000 0.0000
0.0000 3.9266 1.3081
3.9266 0.0000 3.9244
3.9266 3.9266 2.6163
```

Size of the total moment (μB per formula unit): 0.00
Formation energy (eV/atom): -0.110
Crystal system: tetragonal